{"formula": "Li3CuP2O7", "functional": "meta-GGA SCAN", "state": "PBEsol geometry", "total_energy_ev_per_atom": -8.953, "mass_density_kg_m3": 2794, "raw_formation_energy_kj_per_mol_fu": -2856, "total_magnetization_mub_per_fu": 0.03, "cell": [[-0.239, -1.952, -4.745], [6.912, -0.549, 2.669], [-4.646, -6.812, 3.794]], "species": ["Li", "Li", "Li", "Li", "Li", "Li", "Cu", "Cu", "P", "P", "P", "P", "O", "O", "O", "O", "O", "O", "O", "O", "O", "O", "O", "O", "O", "O"], "fractional_positions": [[0.077, 0.871, 0.558], [0.639, 0.124, 0.943], [0.020, 0.142, 0.785], [0.980, 0.858, 0.215], [0.361, 0.876, 0.057], [0.923, 0.129, 0.442], [0.000, 0.500, 0.500], [0.000, 0.500, 0.000], [0.766, 0.745, 0.842], [0.550, 0.292, 0.656], [0.450, 0.708, 0.344], [0.234, 0.255, 0.158], [0.941, 0.726, 0.981], [0.568, 0.845, 0.903], [0.951, 0.850, 0.744], [0.696, 0.225, 0.770], [0.564, 0.517, 0.737], [0.307, 0.708, 0.488], [0.231, 0.166, 0.610], [0.769, 0.834, 0.390], [0.693, 0.292, 0.512], [0.436, 0.483, 0.263], [0.304, 0.775, 0.230], [0.049, 0.150, 0.256], [0.432, 0.155, 0.097], [0.059, 0.274, 0.019]]}